Model 1:
Here is a relaxed structure of HfTh2Bi from Alexandria via LeMat-Bulk. Energies are from PBE.

abc: 4.086 4.086 7.134
angles: 90.00 90.00 90.00
Sites, in units of the cell vectors:
Hf 0.000 0.000 0.000
Th 0.500 0.500 0.251
Th 0.500 0.500 0.749
Bi 0.000 0.000 0.500

## Properties
- Spin magnetization: 0.950 μB/f.u.



Model 2:
Here is a relaxed structure of HfTh2Bi from Alexandria via LeMat-Bulk. Energies are from PBE.

abc: 12.318 12.318 12.318
angles: 15.93 15.93 15.93
Sites, in units of the cell vectors:
Hf 0.000 0.000 0.000
Th 0.408 0.408 0.408
Th 0.592 0.592 0.592
Bi 0.500 0.500 0.500

## Properties
- Spin magnetization: 0.001 μB/f.u.



Most stable one: model 1, least stable one: model 2.